Entry 1:
Pm3Nd4Pd2 | PBE-GGA | relaxed

Structure (CIF):
```
data_Pm3Nd4Pd2
_cell_length_a 8.794
_cell_length_b 8.794
_cell_length_c 9.299
_cell_angle_alpha 112.10
_cell_angle_beta 112.10
_cell_angle_gamma 25.31
_space_group_name_H-M_alt 'P 1'
_space_group_IT_number 1
loop_
_space_group_symop_operation_xyz
'x,y,z'
loop_
_atom_site_label
_atom_site_type_symbol
_atom_site_fract_x
_atom_site_fract_y
_atom_site_fract_z
Pm1 Pm 0.000 0.000 0.000
Pm2 Pm 0.072 0.072 0.678
Pm3 Pm 0.928 0.928 0.322
Nd1 Nd 0.232 0.232 0.164
Nd2 Nd 0.371 0.371 0.616
Nd3 Nd 0.629 0.629 0.384
Nd4 Nd 0.768 0.768 0.836
Pd1 Pd 0.383 0.383 0.056
Pd2 Pd 0.617 0.617 0.944
```

Results
* final energy: -5.158 eV/atom



Entry 2:
Pm3Nd3Pd2 | PBE-GGA | relaxed

Structure (CIF):
```
data_Pm3Nd3Pd2
_cell_length_a 6.719
_cell_length_b 6.719
_cell_length_c 18.831
_cell_angle_alpha 90.00
_cell_angle_beta 90.00
_cell_angle_gamma 145.68
_space_group_name_H-M_alt 'P 1'
_space_group_IT_number 1
loop_
_space_group_symop_operation_xyz
'x,y,z'
loop_
_atom_site_label
_atom_site_type_symbol
_atom_site_fract_x
_atom_site_fract_y
_atom_site_fract_z
Pm1 Pm 0.129 0.871 0.750
Pm2 Pm 0.149 0.851 0.040
Pm3 Pm 0.149 0.851 0.460
Pm4 Pm 0.851 0.149 0.540
Pm5 Pm 0.851 0.149 0.960
Pm6 Pm 0.871 0.129 0.250
Nd1 Nd 0.139 0.861 0.250
Nd2 Nd 0.442 0.558 0.110
Nd3 Nd 0.442 0.558 0.390
Nd4 Nd 0.558 0.442 0.610
Nd5 Nd 0.558 0.442 0.890
Nd6 Nd 0.861 0.139 0.750
Pd1 Pd 0.264 0.736 0.630
Pd2 Pd 0.264 0.736 0.870
Pd3 Pd 0.736 0.264 0.130
Pd4 Pd 0.736 0.264 0.370
```

Results
* final energy: -5.194 eV/atom